A geometry-optimized PrScS structure, computed with GGA-PBE.

Calculated values
**Energy relative to the elements, uncorrected**: -113 kJ/mol of atoms
**Total magnetic moment**: 0.1 μB per formula unit
**Energy**: -6.248 eV/atom

Cell: 6.292 3.762 3.762 Å, 120.00 90.00 90.00°
Each line ends with the local moment (μB).
Fractional coordinates of all 3 atoms:
Pr1 0.604 0.667 0.333  0.12
Sc1 0.089 0.000 0.000  -0.11
S1 0.307 0.333 0.667  0.01